[1]
## Rb2BrCl7 (PBE-GGA)

Data for a geometry-optimized Rb2BrCl7 structure.

a = 7.779 Å, b = 7.779 Å, c = 7.834 Å
α = 119.77°, β = 119.77°, γ = 90.00°
Fractional positions:
1 Rb 0.750 0.250 0.500
2 Rb 0.250 0.750 0.500
3 Br 0.500 0.500 0.000
4 Cl 0.000 0.000 0.000
5 Cl 0.206 0.206 0.412
6 Cl 0.794 0.794 0.588
7 Cl 0.281 0.719 0.000
8 Cl 0.719 0.281 0.000
9 Cl 0.719 0.719 0.000
10 Cl 0.281 0.281 0.000

Summary:
E_form (uncorrected) = -7.62 eV per formula unit
M_tot = 0.0 μB per formula unit

=====

[2]
## Mg2C (PBE-GGA)

Data for a geometry-optimized Mg2C structure.

a = 5.696 Å, b = 5.696 Å, c = 4.915 Å
α = 90.00°, β = 90.00°, γ = 120.00°
Fractional positions:
1 Mg 0.332 0.332 0.732
2 Mg 0.668 0.000 0.732
3 Mg 0.000 0.668 0.732
4 Mg 0.000 0.332 0.268
5 Mg 0.332 0.000 0.268
6 Mg 0.668 0.668 0.268
7 C 0.000 0.000 0.000
8 C 0.333 0.667 0.500
9 C 0.667 0.333 0.500

Summary:
ΔE to the lowest computed polymorph = 0.30 eV/f.u.
M_tot = 0.0 μB per formula unit
calculated formation energy = 350 meV/atom

=====

[3]
## Cs2AsAu (PBE-GGA)

Data for a geometry-optimized Cs2AsAu structure.

a = 6.220 Å, b = 6.220 Å, c = 6.220 Å
α = 60.00°, β = 60.00°, γ = 60.00°
Site moments in Bohr magnetons follow the coordinates.
Fractional positions:
1 Cs 0.250 0.250 0.250  0.03
2 Cs 0.750 0.750 0.750  0.03
3 As 0.000 0.000 0.000  0.74
4 Au 0.500 0.500 0.500  0.09

Summary:
M_tot = 2.0 μB per formula unit
calculated formation energy = 35 meV/atom